Here is crystalline KAsOF4 at its relaxed geometry from Alexandria via LeMat-Bulk. Energies are from PBE-GGA.

Calculated volume, Å³/cell: 438.2
Energy relative to the lowest polymorph listed for this composition, eV per atom: 0.000
Crystal system: monoclinic
Total moment, μB per formula unit: 0.0

The structure in CIF format:
```
data_KAsOF4
_chemical_formula_sum 'K4 As4 O4 F16'
_cell_length_a 5.4026
_cell_length_b 5.9474
_cell_length_c 14.4534
_cell_angle_alpha 90.00
_cell_angle_beta 109.36
_cell_angle_gamma 90.00
_space_group_name_H-M_alt 'P 1 21/c 1'
_space_group_IT_number 14
_space_group_name_Hall '-P 2ybc'
loop_
_atom_site_label
_atom_site_type_symbol
_atom_site_fract_x
_atom_site_fract_y
_atom_site_fract_z
_atom_site_occupancy
K1 K 0.1439 0.1321 0.1476 1
As1 As 0.4706 0.1196 0.4170 1
O1 O 0.3357 0.1197 0.5174 1
F1 F 0.2135 0.5591 0.8389 1
F2 F 0.2727 0.1490 0.8553 1
F3 F 0.2764 0.6769 0.5259 1
F4 F 0.3851 0.6000 0.1784 1
```

***

Here is crystalline YNb2PbO8 at its relaxed geometry from Alexandria via LeMat-Bulk. Energies are from PBE-GGA.

Calculated volume, Å³/cell: 216.8
E, eV/atom: -8.15
Crystal system: trigonal
Total moment, μB per formula unit: 0.0

The structure in CIF format:
```
data_YNb2PbO8
_chemical_formula_sum 'Y1 Nb2 Pb1 O8'
_cell_length_a 6.1394
_cell_length_b 6.1394
_cell_length_c 6.6406
_cell_angle_alpha 90.00
_cell_angle_beta 90.00
_cell_angle_gamma 120.00
_space_group_name_H-M_alt 'P -3 m 1'
_space_group_IT_number 164
_space_group_name_Hall '-P 3 2"'
loop_
_atom_site_label
_atom_site_type_symbol
_atom_site_fract_x
_atom_site_fract_y
_atom_site_fract_z
_atom_site_occupancy
Y1 Y 0.0000 0.0000 0.0000 1
Nb1 Nb 0.3333 0.6667 0.3086 1
Pb1 Pb 0.0000 0.0000 0.5000 1
O1 O 0.1594 0.3187 0.2294 1
O2 O 0.3333 0.6667 0.5760 1
```

***

Here is crystalline Tl2ZnSnI at its relaxed geometry from Alexandria via LeMat-Bulk. Energies are from PBE-GGA.

Calculated volume, Å³/cell: 231.4
E, eV/atom: -2.07
Crystal system: tetragonal
Total moment, μB per formula unit: 0.0

The structure in CIF format:
```
data_Tl2ZnSnI
_chemical_formula_sum 'Tl2 Zn1 Sn1 I1'
_cell_length_a 6.1258
_cell_length_b 6.1258
_cell_length_c 6.1675
_cell_angle_alpha 90.00
_cell_angle_beta 90.00
_cell_angle_gamma 90.00
_space_group_name_H-M_alt 'P 4/m m m'
_space_group_IT_number 123
_space_group_name_Hall '-P 4 2'
loop_
_atom_site_label
_atom_site_type_symbol
_atom_site_fract_x
_atom_site_fract_y
_atom_site_fract_z
_atom_site_occupancy
Tl1 Tl 0.0000 0.5000 0.0000 1
Zn1 Zn 0.0000 0.0000 0.5000 1
Sn1 Sn 0.5000 0.5000 0.0000 1
I1 I 0.5000 0.5000 0.5000 1
```